(1)
First-principles (PBE) data for a geometry-optimized Sr5Li2Cd structure, as listed in Alexandria via LeMat-Bulk.

Lattice parameters (Å, degrees): 5.9021 7.6513 14.5026 90.00 90.00 90.00
Element x y z (fractional)
Sr  0.5000  0.3353  0.1036
Sr  0.5000  0.6647  0.8964
Sr  0.5000  0.8353  0.3964
Sr  0.5000  0.1647  0.6036
Sr  0.0000  0.8624  0.7202
Sr  0.0000  0.1376  0.2798
Sr  0.0000  0.3624  0.7798
Sr  0.0000  0.6376  0.2202
Sr  0.0000  0.5000  0.5000
Sr  0.0000  0.0000  0.0000
Li  0.5000  0.3593  0.3628
Li  0.5000  0.6407  0.6372
Li  0.5000  0.1407  0.8628
Li  0.5000  0.8593  0.1372
Cd  0.0000  0.0000  0.5000
Cd  0.0000  0.5000  0.0000

SG: Pbam, No. 55
DFT total energy, eV for the cell shown: -27.1
N(E_F), states/eV per cell: 17.2

=====

(2)
First-principles (PBE) data for a geometry-optimized Tb2NdTl structure, as listed in Alexandria via LeMat-Bulk.

Lattice parameters (Å, degrees): 3.6587 3.6587 9.2217 90.00 90.00 90.00
Element x y z (fractional)
Nd  0.5000  0.5000  0.5000
Tl  0.5000  0.5000  0.0000
Tb  0.0000  0.0000  0.7761
Tb  0.0000  0.0000  0.2239

SG: P4/mmm, No. 123
DFT total energy, eV for the cell shown: -17.1
Relative energy among the computed polymorphs, meV/atom: 15
N(E_F), states/eV per cell: 4.5

=====

(3)
First-principles (PBE) data for a geometry-optimized PaAlGeS structure, as listed in Alexandria via LeMat-Bulk.

Lattice parameters (Å, degrees): 4.3350 4.3350 8.4706 90.00 90.00 90.00
Site moments in Bohr magnetons follow the coordinates.
Element x y z (fractional)
Pa  0.5000  0.0000  0.7030  0.80
Pa  0.0000  0.5000  0.2970  0.80
Al  0.5000  0.5000  0.0000  0.01
Al  0.0000  0.0000  0.0000  0.01
Ge  0.0000  0.5000  0.8231  -0.01
Ge  0.5000  0.0000  0.1769  -0.01
S  0.0000  0.0000  0.5000  -0.03
S  0.5000  0.5000  0.5000  -0.03

SG: P4/nmm, No. 129
DFT total energy, eV for the cell shown: -49.4
ΔE_f (raw), eV per atom: -0.681
N(E_F), states/eV per cell: 9.9

=====

(4)
First-principles (PBE) data for a geometry-optimized HfZn3N structure, as listed in Alexandria via LeMat-Bulk.

Lattice parameters (Å, degrees): 4.2357 4.2357 4.2357 90.00 90.00 90.00
Element x y z (fractional)
Zn  0.0000  0.5000  0.0000
Zn  0.0000  0.0000  0.5000
Zn  0.5000  0.0000  0.0000
Hf  0.5000  0.5000  0.5000
N  0.0000  0.0000  0.0000

SG: Pm-3m, No. 221
DFT total energy, eV for the cell shown: -19.4
ΔE_f (raw), eV per atom: 0.533
Relative energy among the computed polymorphs, meV/atom: 0
N(E_F), states/eV per cell: 2.0

=====

(5)
First-principles (PBE) data for a geometry-optimized LiEuZnPt structure, as listed in Alexandria via LeMat-Bulk.

Lattice parameters (Å, degrees): 4.7868 4.7868 4.7868 60.00 60.00 60.00
Site moments in Bohr magnetons follow the coordinates.
Element x y z (fractional)
Eu  0.0000  0.0000  0.0000  6.76
Zn  0.5000  0.5000  0.5000  0.00
Pt  0.7500  0.7500  0.7500  -0.04
Li  0.2500  0.2500  0.2500  0.02

SG: F-43m, No. 216
DFT total energy, eV for the cell shown: -21.4
N(E_F), states/eV per cell: 4.5

=====

(6)
First-principles (PBE) data for a geometry-optimized La2Pm3Dy6Tm structure, as listed in Alexandria via LeMat-Bulk.

Lattice parameters (Å, degrees): 6.2418 6.2418 11.8837 95.01 95.01 119.99
Element x y z (fractional)
La  0.3339  0.6661  0.0000
La  0.6661  0.3339  0.0000
Pm  0.1668  0.8332  0.5000
Pm  0.8332  0.1668  0.5000
Pm  0.5000  0.5000  0.5000
Dy  0.9161  0.5842  0.7491
Dy  0.7521  0.7521  0.2514
Dy  0.0839  0.4158  0.2509
Dy  0.5842  0.9161  0.7491
Dy  0.2479  0.2479  0.7486
Dy  0.4158  0.0839  0.2509
Tm  0.0000  0.0000  0.0000

SG: C2/m, No. 12
DFT total energy, eV for the cell shown: -56.0
N(E_F), states/eV per cell: 14.7

=====

(7)
First-principles (PBE) data for a geometry-optimized KLiSm2Se4 structure, as listed in Alexandria via LeMat-Bulk.

Lattice parameters (Å, degrees): 4.2657 7.4200 14.7875 90.00 90.00 106.70
Element x y z (fractional)
K  0.1083  0.2165  0.7500
K  0.8917  0.7835  0.2500
Li  0.8366  0.6732  0.7500
Li  0.1634  0.3268  0.2500
Sm  0.3659  0.7319  0.5620
Sm  0.6341  0.2681  0.0620
Sm  0.6341  0.2681  0.4380
Sm  0.3659  0.7319  0.9380
Se  0.2645  0.5290  0.1105
Se  0.7355  0.4710  0.6105
Se  0.7355  0.4710  0.8895
Se  0.2645  0.5290  0.3895
Se  0.0000  0.0000  0.5000
Se  0.0000  0.0000  0.0000
Se  0.4300  0.8599  0.7500
Se  0.5700  0.1401  0.2500

SG: Cmcm, No. 63
DFT total energy, eV for the cell shown: -80.1
ΔE_f (raw), eV per atom: -1.711

=====

(8)
First-principles (PBE) data for a geometry-optimized PmNdGeCl structure, as listed in Alexandria via LeMat-Bulk.

Lattice parameters (Å, degrees): 5.1693 5.1693 5.1693 60.00 60.00 60.00
Element x y z (fractional)
Ge  0.2500  0.2500  0.2500
Cl  0.7500  0.7500  0.7500
Nd  0.5000  0.5000  0.5000
Pm  0.0000  0.0000  0.0000

SG: F-43m, No. 216
DFT total energy, eV for the cell shown: -20.2
ΔE_f (raw), eV per atom: -1.045
Relative energy among the computed polymorphs, meV/atom: 0
N(E_F), states/eV per cell: 2.2

=====

> Number 6 is which compound?

La2Pm3Dy6Tm

=====

Repeat the third record exactly.
First-principles (PBE) data for a geometry-optimized PaAlGeS structure, as listed in Alexandria via LeMat-Bulk.

Lattice parameters (Å, degrees): 4.3350 4.3350 8.4706 90.00 90.00 90.00
Site moments in Bohr magnetons follow the coordinates.
Element x y z (fractional)
Pa  0.5000  0.0000  0.7030  0.80
Pa  0.0000  0.5000  0.2970  0.80
Al  0.5000  0.5000  0.0000  0.01
Al  0.0000  0.0000  0.0000  0.01
Ge  0.0000  0.5000  0.8231  -0.01
Ge  0.5000  0.0000  0.1769  -0.01
S  0.0000  0.0000  0.5000  -0.03
S  0.5000  0.5000  0.5000  -0.03

SG: P4/nmm, No. 129
DFT total energy, eV for the cell shown: -49.4
ΔE_f (raw), eV per atom: -0.681
N(E_F), states/eV per cell: 9.9

=====

What did the first record say?
First-principles (PBE) data for a geometry-optimized Sr5Li2Cd structure, as listed in Alexandria via LeMat-Bulk.

Lattice parameters (Å, degrees): 5.9021 7.6513 14.5026 90.00 90.00 90.00
Element x y z (fractional)
Sr  0.5000  0.3353  0.1036
Sr  0.5000  0.6647  0.8964
Sr  0.5000  0.8353  0.3964
Sr  0.5000  0.1647  0.6036
Sr  0.0000  0.8624  0.7202
Sr  0.0000  0.1376  0.2798
Sr  0.0000  0.3624  0.7798
Sr  0.0000  0.6376  0.2202
Sr  0.0000  0.5000  0.5000
Sr  0.0000  0.0000  0.0000
Li  0.5000  0.3593  0.3628
Li  0.5000  0.6407  0.6372
Li  0.5000  0.1407  0.8628
Li  0.5000  0.8593  0.1372
Cd  0.0000  0.0000  0.5000
Cd  0.0000  0.5000  0.0000

SG: Pbam, No. 55
DFT total energy, eV for the cell shown: -27.1
N(E_F), states/eV per cell: 17.2

=====

> Which value of DFT total energy does entry 7 give?

-80.1 eV for the cell shown